DFT (PBE-GGA) results for a geometry-optimized CrSe3N structure.

Cell lengths 4.3192, 4.3192, 4.3192 Å; angles 90.00, 90.00, 90.00 degrees
Fractional coordinates of all 5 atoms:
1 Cr 0.0000 0.0000 0.0000
2 Se 0.0000 0.5000 0.5000
3 Se 0.5000 0.0000 0.5000
4 Se 0.5000 0.5000 0.0000
5 N 0.5000 0.5000 0.5000

## Properties
formation energy (no corrections) = 1191 meV/atom
size of the total moment = 0.2 μB/f.u.
space group = Pm-3m
energy above the lowest structure with this stoichiometry = 0.000 eV/atom

DFT (PBE-GGA) results for a geometry-optimized CrSe2N structure.

Cell lengths 5.2245, 5.2245, 10.2582 Å; angles 90.00, 90.00, 90.00 degrees
Fractional coordinates of all 16 atoms:
1 Cr 0.0000 0.0000 0.0000
2 Cr 0.0000 0.5000 0.2500
3 Cr 0.5000 0.0000 0.7500
4 Cr 0.5000 0.5000 0.5000
5 Se 0.2338 0.2500 0.6250
6 Se 0.2500 0.7338 0.8750
7 Se 0.2500 0.7662 0.3750
8 Se 0.2662 0.2500 0.1250
9 Se 0.7338 0.7500 0.1250
10 Se 0.7500 0.2338 0.3750
11 Se 0.7500 0.2662 0.8750
12 Se 0.7662 0.7500 0.6250
13 N 0.0000 0.0000 0.5000
14 N 0.0000 0.5000 0.7500
15 N 0.5000 0.0000 0.2500
16 N 0.5000 0.5000 0.0000

## Properties
formation energy (no corrections) = 893 meV/atom
size of the total moment = 0.0 μB/f.u.
space group = I-42d

DFT (PBE-GGA) results for a geometry-optimized CrSe3N structure.

Cell lengths 4.7405, 4.7405, 4.7405 Å; angles 90.00, 90.00, 90.00 degrees
Fractional coordinates of all 5 atoms:
1 Cr 0.0000 0.0000 0.0000
2 Se 0.0000 0.0000 0.5000
3 Se 0.0000 0.5000 0.0000
4 Se 0.5000 0.0000 0.0000
5 N 0.5000 0.5000 0.5000

## Properties
formation energy (no corrections) = 1216 meV/atom
size of the total moment = 2.9 μB/f.u.
space group = Pm-3m
energy above the lowest structure with this stoichiometry = 0.025 eV/atom

DFT (PBE-GGA) results for a geometry-optimized CrSeN3 structure.

Cell lengths 3.7302, 3.7302, 3.7302 Å; angles 90.00, 90.00, 90.00 degrees
Fractional coordinates of all 5 atoms:
1 Cr 0.0000 0.0000 0.0000
2 Se 0.5000 0.5000 0.5000
3 N 0.0000 0.5000 0.5000
4 N 0.5000 0.0000 0.5000
5 N 0.5000 0.5000 0.0000

## Properties
formation energy (no corrections) = 1744 meV/atom
size of the total moment = 2.3 μB/f.u.
space group = Pm-3m

DFT (PBE-GGA) results for a geometry-optimized CrSeN2 structure.

Cell lengths 5.0731, 5.0731, 8.4443 Å; angles 90.00, 90.00, 90.00 degrees
Fractional coordinates of all 16 atoms:
1 Cr 0.0000 0.0000 0.0000
2 Cr 0.0000 0.5000 0.2500
3 Cr 0.5000 0.0000 0.7500
4 Cr 0.5000 0.5000 0.5000
5 Se 0.0000 0.0000 0.5000
6 Se 0.0000 0.5000 0.7500
7 Se 0.5000 0.0000 0.2500
8 Se 0.5000 0.5000 0.0000
9 N 0.1338 0.2500 0.1250
10 N 0.2500 0.6338 0.3750
11 N 0.2500 0.8662 0.8750
12 N 0.3662 0.2500 0.6250
13 N 0.6338 0.7500 0.6250
14 N 0.7500 0.1338 0.8750
15 N 0.7500 0.3662 0.3750
16 N 0.8662 0.7500 0.1250

## Properties
formation energy (no corrections) = 527 meV/atom
size of the total moment = 0.0 μB/f.u.
space group = I-42d

DFT (PBE-GGA) results for a geometry-optimized CrSeN3 structure.

Cell lengths 3.7601, 3.7601, 3.7601 Å; angles 90.00, 90.00, 90.00 degrees
Fractional coordinates of all 5 atoms:
1 Cr 0.0000 0.0000 0.0000
2 Se 0.5000 0.5000 0.5000
3 N 0.0000 0.0000 0.5000
4 N 0.0000 0.5000 0.0000
5 N 0.5000 0.0000 0.0000

## Properties
formation energy (no corrections) = 1255 meV/atom
size of the total moment = 0.0 μB/f.u.
space group = Pm-3m

DFT (PBE-GGA) results for a geometry-optimized CrSeN2 structure.

Cell lengths 2.8415, 2.8415, 18.9247 Å; angles 90.00, 90.00, 120.00 degrees
Fractional coordinates of all 12 atoms:
1 Cr 0.0000 0.0000 0.0000
2 Cr 0.3333 0.6667 0.6667
3 Cr 0.6667 0.3333 0.3333
4 Se 0.0000 0.0000 0.5000
5 Se 0.3333 0.6667 0.1667
6 Se 0.6667 0.3333 0.8333
7 N 0.0000 0.0000 0.3913
8 N 0.0000 0.0000 0.6087
9 N 0.3333 0.6667 0.0580
10 N 0.3333 0.6667 0.2754
11 N 0.6667 0.3333 0.7246
12 N 0.6667 0.3333 0.9420

## Properties
formation energy (no corrections) = 297 meV/atom
size of the total moment = 0.0 μB/f.u.
space group = R-3m

DFT (PBE-GGA) results for a geometry-optimized Cr2SeN structure.

Cell lengths 4.9649, 4.9649, 9.7972 Å; angles 90.00, 90.00, 90.00 degrees
Fractional coordinates of all 16 atoms:
1 Cr 0.1586 0.2500 0.1250
2 Cr 0.2500 0.6586 0.3750
3 Cr 0.2500 0.8414 0.8750
4 Cr 0.3414 0.2500 0.6250
5 Cr 0.6586 0.7500 0.6250
6 Cr 0.7500 0.1586 0.8750
7 Cr 0.7500 0.3414 0.3750
8 Cr 0.8414 0.7500 0.1250
9 Se 0.0000 0.0000 0.5000
10 Se 0.0000 0.5000 0.7500
11 Se 0.5000 0.0000 0.2500
12 Se 0.5000 0.5000 0.0000
13 N 0.0000 0.0000 0.0000
14 N 0.0000 0.5000 0.2500
15 N 0.5000 0.0000 0.7500
16 N 0.5000 0.5000 0.5000

## Properties
formation energy (no corrections) = -241 meV/atom
size of the total moment = 4.7 μB/f.u.
space group = I-42d
energy above the lowest structure with this stoichiometry = 0.000 eV/atom

DFT (PBE-GGA) results for a geometry-optimized CrSe2N structure.

Cell lengths 3.8011, 3.8011, 18.1970 Å; angles 90.00, 90.00, 120.00 degrees
Fractional coordinates of all 12 atoms:
1 Cr 0.0000 0.0000 0.0000
2 Cr 0.3333 0.6667 0.6667
3 Cr 0.6667 0.3333 0.3333
4 Se 0.0000 0.0000 0.4034
5 Se 0.0000 0.0000 0.5966
6 Se 0.3333 0.6667 0.0701
7 Se 0.3333 0.6667 0.2632
8 Se 0.6667 0.3333 0.7368
9 Se 0.6667 0.3333 0.9299
10 N 0.0000 0.0000 0.5000
11 N 0.3333 0.6667 0.1667
12 N 0.6667 0.3333 0.8333

## Properties
formation energy (no corrections) = 604 meV/atom
size of the total moment = 2.7 μB/f.u.
space group = R-3m

DFT (PBE-GGA) results for a geometry-optimized CrSiSe2N structure.

Cell lengths 4.9871, 4.9871, 3.5210 Å; angles 90.00, 90.00, 90.00 degrees
Fractional coordinates of all 5 atoms:
1 Cr 0.0000 0.0000 0.0000
2 Si 0.5000 0.5000 0.5000
3 Se 0.0000 0.5000 0.0000
4 Se 0.5000 0.0000 0.0000
5 N 0.0000 0.0000 0.5000

## Properties
formation energy (no corrections) = 300 meV/atom
size of the total moment = 1.0 μB/f.u.
space group = P4/mmm
energy above the lowest structure with this stoichiometry = 0.042 eV/atom

DFT (PBE-GGA) results for a geometry-optimized CrSiSe2N structure.

Cell lengths 5.1215, 5.1215, 3.2643 Å; angles 90.00, 90.00, 90.00 degrees
Fractional coordinates of all 5 atoms:
1 Cr 0.0000 0.0000 0.0000
2 Si 0.5000 0.5000 0.5000
3 Se 0.0000 0.5000 0.5000
4 Se 0.5000 0.0000 0.5000
5 N 0.5000 0.5000 0.0000

## Properties
formation energy (no corrections) = 258 meV/atom
size of the total moment = 4.0 μB/f.u.
space group = P4/mmm
energy above the lowest structure with this stoichiometry = 0.000 eV/atom

DFT (PBE-GGA) results for a geometry-optimized CrSnSeN2 structure.

Cell lengths 3.8345, 3.8345, 5.1257 Å; angles 90.00, 90.00, 90.00 degrees
Fractional coordinates of all 5 atoms:
1 Cr 0.0000 0.0000 0.0000
2 Sn 0.5000 0.5000 0.5000
3 Se 0.0000 0.0000 0.5000
4 N 0.0000 0.5000 0.0000
5 N 0.5000 0.0000 0.0000

## Properties
formation energy (no corrections) = 461 meV/atom
size of the total moment = 0.0 μB/f.u.
space group = P4/mmm
energy above the lowest structure with this stoichiometry = 0.000 eV/atom

DFT (PBE-GGA) results for a geometry-optimized CrSnSe2N structure.

Cell lengths 5.1469, 5.1469, 3.5924 Å; angles 90.00, 90.00, 90.00 degrees
Fractional coordinates of all 5 atoms:
1 Cr 0.0000 0.0000 0.0000
2 Sn 0.5000 0.5000 0.5000
3 Se 0.0000 0.5000 0.0000
4 Se 0.5000 0.0000 0.0000
5 N 0.0000 0.0000 0.5000

## Properties
formation energy (no corrections) = -40 meV/atom
size of the total moment = 1.2 μB/f.u.
space group = P4/mmm
energy above the lowest structure with this stoichiometry = 0.000 eV/atom

DFT (PBE-GGA) results for a geometry-optimized CrSnSeN2 structure.

Cell lengths 4.0220, 4.0220, 5.5226 Å; angles 90.00, 90.00, 90.00 degrees
Fractional coordinates of all 5 atoms:
1 Cr 0.0000 0.0000 0.0000
2 Sn 0.5000 0.5000 0.5000
3 Se 0.5000 0.5000 0.0000
4 N 0.0000 0.5000 0.5000
5 N 0.5000 0.0000 0.5000

## Properties
formation energy (no corrections) = 1726 meV/atom
size of the total moment = 1.3 μB/f.u.
space group = P4/mmm
energy above the lowest structure with this stoichiometry = 1.265 eV/atom

DFT (PBE-GGA) results for a geometry-optimized CrSnSe2N structure.

Cell lengths 5.3550, 5.3550, 3.9857 Å; angles 90.00, 90.00, 90.00 degrees
Fractional coordinates of all 5 atoms:
1 Cr 0.0000 0.0000 0.0000
2 Sn 0.5000 0.5000 0.5000
3 Se 0.0000 0.5000 0.5000
4 Se 0.5000 0.0000 0.5000
5 N 0.5000 0.5000 0.0000

## Properties
formation energy (no corrections) = 863 meV/atom
size of the total moment = 2.9 μB/f.u.
space group = P4/mmm
energy above the lowest structure with this stoichiometry = 0.903 eV/atom

DFT (PBE-GGA) results for a geometry-optimized SrCrSe2N structure.

Cell lengths 5.2145, 5.2145, 3.6537 Å; angles 90.00, 90.00, 90.00 degrees
Fractional coordinates of all 5 atoms:
1 Sr 0.0000 0.0000 0.0000
2 Cr 0.5000 0.5000 0.5000
3 Se 0.0000 0.5000 0.5000
4 Se 0.5000 0.0000 0.5000
5 N 0.5000 0.5000 0.0000

## Properties
formation energy (no corrections) = -690 meV/atom
size of the total moment = 1.2 μB/f.u.
space group = P4/mmm
energy above the lowest structure with this stoichiometry = 0.000 eV/atom

DFT (PBE-GGA) results for a geometry-optimized SrCrSe2N structure.

Cell lengths 5.7996, 5.7996, 4.7573 Å; angles 90.00, 90.00, 90.00 degrees
Fractional coordinates of all 5 atoms:
1 Sr 0.0000 0.0000 0.0000
2 Cr 0.5000 0.5000 0.5000
3 Se 0.0000 0.5000 0.0000
4 Se 0.5000 0.0000 0.0000
5 N 0.0000 0.0000 0.5000

## Properties
formation energy (no corrections) = 949 meV/atom
size of the total moment = 1.0 μB/f.u.
space group = P4/mmm
energy above the lowest structure with this stoichiometry = 1.639 eV/atom

DFT (PBE-GGA) results for a geometry-optimized TaCrSe2N structure.

Cell lengths 5.1640, 5.1640, 3.8794 Å; angles 90.00, 90.00, 90.00 degrees
Fractional coordinates of all 5 atoms:
1 Ta 0.0000 0.0000 0.0000
2 Cr 0.5000 0.5000 0.5000
3 Se 0.0000 0.5000 0.0000
4 Se 0.5000 0.0000 0.0000
5 N 0.0000 0.0000 0.5000

## Properties
formation energy (no corrections) = 107 meV/atom
size of the total moment = 4.1 μB/f.u.
space group = P4/mmm
energy above the lowest structure with this stoichiometry = 0.000 eV/atom

DFT (PBE-GGA) results for a geometry-optimized TaCrSe2N structure.

Cell lengths 4.9390, 4.9390, 3.4908 Å; angles 90.00, 90.00, 90.00 degrees
Fractional coordinates of all 5 atoms:
1 Ta 0.0000 0.0000 0.0000
2 Cr 0.5000 0.5000 0.5000
3 Se 0.0000 0.5000 0.5000
4 Se 0.5000 0.0000 0.5000
5 N 0.5000 0.5000 0.0000

## Properties
formation energy (no corrections) = 378 meV/atom
size of the total moment = 2.8 μB/f.u.
space group = P4/mmm
energy above the lowest structure with this stoichiometry = 0.271 eV/atom

DFT (PBE-GGA) results for a geometry-optimized CrTcSe2N structure.

Cell lengths 4.9527, 4.9527, 3.4957 Å; angles 90.00, 90.00, 90.00 degrees
Fractional coordinates of all 5 atoms:
1 Cr 0.0000 0.0000 0.0000
2 Tc 0.5000 0.5000 0.5000
3 Se 0.0000 0.5000 0.0000
4 Se 0.5000 0.0000 0.0000
5 N 0.0000 0.0000 0.5000

## Properties
formation energy (no corrections) = 545 meV/atom
size of the total moment = 4.6 μB/f.u.
space group = P4/mmm
energy above the lowest structure with this stoichiometry = 0.000 eV/atom